Entry 1:
Cu2Ag5Au5: relaxed, PBE-GGA.

Unit cell a=6.345 b=6.345 c=9.252 alpha=114.04 beta=114.04 gamma=37.66
Positions (direct):
Cu: 0.084 0.084 0.247
Cu: 0.916 0.916 0.753
Ag: 0.332 0.332 0.499
Ag: 0.422 0.422 0.251
Ag: 0.500 0.500 0.000
Ag: 0.578 0.578 0.749
Ag: 0.668 0.668 0.501
Au: 0.000 0.000 0.500
Au: 0.162 0.162 0.997
Au: 0.256 0.256 0.750
Au: 0.744 0.744 0.250
Au: 0.838 0.838 0.003

Results
formation energy from the elements = -1 kJ/mol of formula units
size of the total moment = 0.00 μB/f.u.
mass density = 13.35 g cm⁻³
raw total energy = -3.24 eV per atom


Entry 2:
CuAgAu2: relaxed, PBE-GGA.

Unit cell a=2.900 b=2.900 c=7.881 alpha=90.00 beta=90.00 gamma=90.00
Positions (direct):
Cu: 0.000 0.000 0.000
Ag: 0.000 0.000 0.500
Au: 0.500 0.500 0.227
Au: 0.500 0.500 0.773

Results
formation energy from the elements = -19 kJ/mol of formula units
distance to the lowest polymorph of the same formula = 0.00 eV/f.u.
size of the total moment = 0.00 μB/f.u.
mass density = 14.17 g cm⁻³
raw total energy = -3.43 eV per atom


Entry 3:
CuAg4Au2: relaxed, PBE-GGA.

Unit cell a=2.888 b=22.046 c=4.053 alpha=90.00 beta=90.00 gamma=90.00
Positions (direct):
Cu: 0.000 0.000 0.000
Cu: 0.500 0.500 0.000
Ag: 0.000 0.130 0.000
Ag: 0.000 0.438 0.500
Ag: 0.000 0.562 0.500
Ag: 0.000 0.870 0.000
Ag: 0.500 0.062 0.500
Ag: 0.500 0.370 0.000
Ag: 0.500 0.630 0.000
Ag: 0.500 0.938 0.500
Au: 0.000 0.305 0.500
Au: 0.000 0.695 0.500
Au: 0.500 0.195 0.500
Au: 0.500 0.805 0.500

Results
formation energy from the elements = 62 kJ/mol of formula units
size of the total moment = 0.00 μB/f.u.
mass density = 11.44 g cm⁻³
raw total energy = -3.06 eV per atom


Entry 4:
CuAgAu2: relaxed, PBE-GGA.

Unit cell a=3.958 b=4.205 c=7.993 alpha=90.00 beta=90.00 gamma=90.00
Positions (direct):
Cu: 0.000 0.000 0.000
Cu: 0.500 0.500 0.000
Ag: 0.000 0.500 0.769
Ag: 0.500 0.000 0.769
Au: 0.000 0.000 0.500
Au: 0.000 0.500 0.225
Au: 0.500 0.000 0.225
Au: 0.500 0.500 0.500

Results
formation energy from the elements = 3 kJ/mol of formula units
distance to the lowest polymorph of the same formula = 0.23 eV/f.u.
size of the total moment = 0.00 μB/f.u.
mass density = 14.12 g cm⁻³
raw total energy = -3.37 eV per atom